DFT (GGA-PBE) results for crystalline Al4ZnPb at its relaxed geometry.

It has space group F-43m (No. 216), with a = 7.862 Å, b = 7.862 Å, c = 7.862 Å, α = 90.00°, β = 90.00° and γ = 90.00°. Symmetry generates all atoms from Al at (0.124, 0.124, 0.376), Zn at (0.250, 0.250, 0.750) and Pb at (0.000, 0.000, 0.000).



DFT (GGA-PBE) results for crystalline Al2Zn2Pb at its relaxed geometry.

Its polymorph energy (0 for the lowest one) is 83 meV per atom.

It has space group P4/mbm (No. 127), with a = 7.902 Å, b = 7.902 Å, c = 3.174 Å, α = 90.00°, β = 90.00° and γ = 90.00°. Symmetry generates all atoms from Al at (0.122, 0.378, 0.000), Zn at (0.175, 0.675, 0.500) and Pb at (0.000, 0.000, 0.000).



DFT (GGA-PBE) results for crystalline ZrAlZnPb2 at its relaxed geometry.

It has space group P4/mmm (No. 123), with a = 5.398 Å, b = 5.398 Å, c = 4.617 Å, α = 90.00°, β = 90.00° and γ = 90.00°. Symmetry generates all atoms from Zr at (0.000, 0.000, 0.000), Al at (0.500, 0.500, 0.500), Zn at (0.500, 0.500, 0.000) and Pb at (0.000, 0.500, 0.500).



no.,formation enthalpy at 0 K (eV per atom),total magnetization (μB/f.u.),E_tot (hartree per atom)
1,0.2188,0.00,-0.1142
2,0.1662,0.00,-0.0949
3,0.6918,0.00,-0.1288